--- A ---
# PrYAu2, optimized geometry, DFT PBE
# **Fermi-level density of states**: 11.8 states/eV per cell
data_PrYAu2
_chemical_formula_sum 'Pr3 Y3 Au6'
_symmetry_space_group_name_H-M 'R -3 m'
_symmetry_Int_Tables_number 166
_symmetry_space_group_name_Hall '-R 3 2"'
_cell_length_a 4.3459
_cell_length_b 4.3459
_cell_length_c 20.5360
_cell_angle_alpha 90.00
_cell_angle_beta 90.00
_cell_angle_gamma 120.00
loop_
_atom_site_label
_atom_site_type_symbol
_atom_site_fract_x
_atom_site_fract_y
_atom_site_fract_z
Pr1 Pr 0.0000 0.0000 0.0000
Y1 Y 0.0000 0.0000 0.5000
Au1 Au 0.0000 0.0000 0.2441


--- B ---
# PrYAu2, optimized geometry, DFT PBE
# **Fermi-level density of states**: 14.6 states/eV per cell
data_PrYAu2
_chemical_formula_sum 'Pr4 Y4 Au8'
_symmetry_space_group_name_H-M 'F m -3 m'
_symmetry_Int_Tables_number 225
_symmetry_space_group_name_Hall '-F 4 2 3'
_cell_length_a 7.364
_cell_length_b 7.364
_cell_length_c 7.364
_cell_angle_alpha 90.00
_cell_angle_beta 90.00
_cell_angle_gamma 90.00
loop_
_atom_site_label
_atom_site_type_symbol
_atom_site_fract_x
_atom_site_fract_y
_atom_site_fract_z
Pr1 Pr 0.000 0.000 0.000
Y1 Y 0.000 0.000 0.500
Au1 Au 0.250 0.250 0.250


Energies in meV/atom, measured from the most stable structure: A 95; B 0.


--- A ---
# PrYAu2, optimized geometry, DFT PBE
# **Fermi-level density of states**: 2.1 states/eV per cell
data_PrYAu2
_chemical_formula_sum 'Pr1 Y1 Au2'
_symmetry_space_group_name_H-M 'P 4/m m m'
_symmetry_Int_Tables_number 123
_symmetry_space_group_name_Hall '-P 4 2'
_cell_length_a 3.642
_cell_length_b 3.642
_cell_length_c 7.472
_cell_angle_alpha 90.00
_cell_angle_beta 90.00
_cell_angle_gamma 90.00
loop_
_atom_site_label
_atom_site_type_symbol
_atom_site_fract_x
_atom_site_fract_y
_atom_site_fract_z
Pr1 Pr 0.000 0.000 0.000
Y1 Y 0.000 0.000 0.500
Au1 Au 0.500 0.500 0.272


--- B ---
# PrYAu2, optimized geometry, DFT PBE
# **Fermi-level density of states**: 2.6 states/eV per cell
data_PrYAu2
_chemical_formula_sum 'Pr1 Y1 Au2'
_symmetry_space_group_name_H-M 'P 1 m 1'
_symmetry_Int_Tables_number 6
_cell_length_a 3.836
_cell_length_b 4.764
_cell_length_c 5.940
_cell_angle_alpha 90.00
_cell_angle_beta 108.97
_cell_angle_gamma 90.00
loop_
_symmetry_equiv_pos_as_xyz
'x,y,z'
'x,-y,z'
loop_
_atom_site_label
_atom_site_type_symbol
_atom_site_fract_x
_atom_site_fract_y
_atom_site_fract_z
Pr1 Pr 0.000 0.000 0.000
Y1 Y 0.277 0.500 0.553
Au1 Au 0.554 0.500 0.107
Au2 Au 0.728 0.000 0.454


Energies in meV/atom, measured from the most stable structure: A 17; B 0.


--- A ---
# PrYAu, optimized geometry, DFT PBE
# **Fermi-level density of states**: 6.8 states/eV per cell
data_PrYAu
_chemical_formula_sum 'Pr2 Y2 Au2'
_symmetry_space_group_name_H-M 'P 4/n m m'
_symmetry_Int_Tables_number 129
_cell_length_a 4.887
_cell_length_b 4.887
_cell_length_c 7.398
_cell_angle_alpha 90.00
_cell_angle_beta 90.00
_cell_angle_gamma 90.00
loop_
_symmetry_equiv_pos_as_xyz
'x,y,z'
'-x,-y,-z'
'-y+1/2,x,z'
'y+1/2,-x,-z'
'-x+1/2,-y+1/2,z'
'x+1/2,y+1/2,-z'
'y,-x+1/2,z'
'-y,x+1/2,-z'
'x+1/2,-y,-z'
'-x+1/2,y,z'
'-y,-x,-z'
'y,x,z'
'-x,y+1/2,-z'
'x,-y+1/2,z'
'y+1/2,x+1/2,-z'
'-y+1/2,-x+1/2,z'
loop_
_atom_site_label
_atom_site_type_symbol
_atom_site_fract_x
_atom_site_fract_y
_atom_site_fract_z
Pr1 Pr 0.250 0.250 0.120
Y1 Y 0.250 0.750 0.500
Au1 Au 0.250 0.250 0.726


--- B ---
# PrYAu, optimized geometry, DFT PBE
# **Fermi-level density of states**: 8.0 states/eV per cell
data_PrYAu
_chemical_formula_sum 'Pr2 Y2 Au2'
_symmetry_space_group_name_H-M 'I 4 m m'
_symmetry_Int_Tables_number 107
_symmetry_space_group_name_Hall 'I 4 -2'
_cell_length_a 3.668
_cell_length_b 3.668
_cell_length_c 12.704
_cell_angle_alpha 90.00
_cell_angle_beta 90.00
_cell_angle_gamma 90.00
loop_
_atom_site_label
_atom_site_type_symbol
_atom_site_fract_x
_atom_site_fract_y
_atom_site_fract_z
Pr1 Pr 0.000 0.000 0.000
Y1 Y 0.000 0.000 0.287
Au1 Au 0.000 0.000 0.661


--- C ---
# PrYAu, optimized geometry, DFT PBE
# **Fermi-level density of states**: 17.4 states/eV per cell
data_PrYAu
_chemical_formula_sum 'Pr4 Y4 Au4'
_symmetry_space_group_name_H-M 'F -4 3 m'
_symmetry_Int_Tables_number 216
_symmetry_space_group_name_Hall 'F -4 2 3'
_cell_length_a 7.191
_cell_length_b 7.191
_cell_length_c 7.191
_cell_angle_alpha 90.00
_cell_angle_beta 90.00
_cell_angle_gamma 90.00
loop_
_atom_site_label
_atom_site_type_symbol
_atom_site_fract_x
_atom_site_fract_y
_atom_site_fract_z
Pr1 Pr 0.000 0.000 0.000
Y1 Y 0.000 0.000 0.500
Au1 Au 0.250 0.250 0.750


Energies in meV/atom, measured from the most stable structure: A 0; B 43; C 163.


--- A ---
# Pr2YAu2, optimized geometry, DFT PBE
# **Fermi-level density of states**: 10.7 states/eV per cell
data_Pr2YAu2
_chemical_formula_sum 'Pr4 Y2 Au4'
_symmetry_space_group_name_H-M 'P 4/m b m'
_symmetry_Int_Tables_number 127
_symmetry_space_group_name_Hall '-P 4 2ab'
_cell_length_a 8.377
_cell_length_b 8.377
_cell_length_c 3.954
_cell_angle_alpha 90.00
_cell_angle_beta 90.00
_cell_angle_gamma 90.00
loop_
_atom_site_label
_atom_site_type_symbol
_atom_site_fract_x
_atom_site_fract_y
_atom_site_fract_z
Pr1 Pr 0.166 0.334 0.000
Y1 Y 0.000 0.000 0.500
Au1 Au 0.130 0.630 0.500


--- B ---
# Pr2YAu2, optimized geometry, DFT PBE
# **Fermi-level density of states**: 13.4 states/eV per cell
data_Pr2YAu2
_chemical_formula_sum 'Pr4 Y2 Au4'
_symmetry_space_group_name_H-M 'I m m m'
_symmetry_Int_Tables_number 71
_symmetry_space_group_name_Hall '-I 2 2'
_cell_length_a 4.025
_cell_length_b 7.182
_cell_length_c 9.877
_cell_angle_alpha 90.00
_cell_angle_beta 90.00
_cell_angle_gamma 90.00
loop_
_atom_site_label
_atom_site_type_symbol
_atom_site_fract_x
_atom_site_fract_y
_atom_site_fract_z
Pr1 Pr 0.000 0.000 0.198
Y1 Y 0.000 0.500 0.000
Au1 Au 0.000 0.293 0.500


Energies in meV/atom, measured from the most stable structure: A 0; B 44.


--- A ---
# PrZn4Au, optimized geometry, DFT PBE
# **Fermi-level density of states**: 22.2 states/eV per cell
data_PrZn4Au
_chemical_formula_sum 'Pr4 Zn16 Au4'
_symmetry_space_group_name_H-M 'F -4 3 m'
_symmetry_Int_Tables_number 216
_symmetry_space_group_name_Hall 'F -4 2 3'
_cell_length_a 7.648
_cell_length_b 7.648
_cell_length_c 7.648
_cell_angle_alpha 90.00
_cell_angle_beta 90.00
_cell_angle_gamma 90.00
loop_
_atom_site_label
_atom_site_type_symbol
_atom_site_fract_x
_atom_site_fract_y
_atom_site_fract_z
Pr1 Pr 0.000 0.000 0.000
Zn1 Zn 0.124 0.124 0.376
Au1 Au 0.250 0.250 0.750


--- B ---
# PrZn4Au, optimized geometry, DFT PBE
# **Fermi-level density of states**: 18.2 states/eV per cell
data_PrZn4Au
_chemical_formula_sum 'Pr4 Zn16 Au4'
_symmetry_space_group_name_H-M 'C m c m'
_symmetry_Int_Tables_number 63
_symmetry_space_group_name_Hall '-C 2c 2'
_cell_length_a 4.360
_cell_length_b 15.920
_cell_length_c 6.706
_cell_angle_alpha 90.00
_cell_angle_beta 90.00
_cell_angle_gamma 90.00
loop_
_atom_site_label
_atom_site_type_symbol
_atom_site_fract_x
_atom_site_fract_y
_atom_site_fract_z
Pr1 Pr 0.000 0.124 0.250
Zn1 Zn 0.000 0.068 0.750
Zn2 Zn 0.000 0.334 0.061
Zn3 Zn 0.000 0.500 0.000
Au1 Au 0.000 0.231 0.750


Energies in meV/atom, measured from the most stable structure: A 111; B 0.


--- A ---
# PrZn2Au4, optimized geometry, DFT PBE
# **Fermi-level density of states**: 7.0 states/eV per cell
data_PrZn2Au4
_chemical_formula_sum 'Pr2 Zn4 Au8'
_symmetry_space_group_name_H-M 'I 4/m m m'
_symmetry_Int_Tables_number 139
_symmetry_space_group_name_Hall '-I 4 2'
_cell_length_a 8.407
_cell_length_b 8.407
_cell_length_c 5.047
_cell_angle_alpha 90.00
_cell_angle_beta 90.00
_cell_angle_gamma 90.00
loop_
_atom_site_label
_atom_site_type_symbol
_atom_site_fract_x
_atom_site_fract_y
_atom_site_fract_z
Pr1 Pr 0.000 0.000 0.000
Zn1 Zn 0.000 0.500 0.250
Au1 Au 0.000 0.234 0.500


--- B ---
# PrZn2Au4, optimized geometry, DFT PBE
# **Fermi-level density of states**: 5.4 states/eV per cell
data_PrZn2Au4
_chemical_formula_sum 'Pr2 Zn4 Au8'
_symmetry_space_group_name_H-M 'I 4/m m m'
_symmetry_Int_Tables_number 139
_symmetry_space_group_name_Hall '-I 4 2'
_cell_length_a 7.097
_cell_length_b 7.097
_cell_length_c 5.379
_cell_angle_alpha 90.00
_cell_angle_beta 90.00
_cell_angle_gamma 90.00
loop_
_atom_site_label
_atom_site_type_symbol
_atom_site_fract_x
_atom_site_fract_y
_atom_site_fract_z
Pr1 Pr 0.000 0.000 0.000
Zn1 Zn 0.000 0.500 0.250
Au1 Au 0.198 0.198 0.500


Energies in meV/atom, measured from the most stable structure: A 388; B 0.